No. 1
! Pr5Dy12Er2, relaxed, DFT PBE-GGA; values from VASP
! - Density: 7822 kg/m³
! - Formation energy: 3.4 eV/f.u.
! - Total magnetic moment: 0.00 Bohr magnetons per cell
! - DFT total energy: -84.8 eV for the cell shown
! - Crystal system: monoclinic
! - SG: No. 12
&SYSTEM
  ibrav = 0, nat = 19, ntyp = 3
/
ATOMIC_SPECIES
Pr 140.91 Pr.upf
Dy 162.50 Dy.upf
Er 167.26 Er.upf
CELL_PARAMETERS angstrom
9.223 -3.536 0.000
9.223 3.536 0.000
-3.783 0.000 9.728
ATOMIC_POSITIONS crystal
Pr 0.000 0.000 0.000
Pr 0.186 0.186 0.681
Pr 0.320 0.320 0.289
Pr 0.680 0.680 0.711
Pr 0.814 0.814 0.319
Dy 0.024 0.024 0.745
Dy 0.089 0.584 0.980
Dy 0.090 0.594 0.632
Dy 0.406 0.910 0.368
Dy 0.416 0.911 0.020
Dy 0.499 0.499 0.822
Dy 0.501 0.501 0.178
Dy 0.584 0.089 0.980
Dy 0.594 0.090 0.632
Dy 0.910 0.406 0.368
Dy 0.911 0.416 0.020
Dy 0.976 0.976 0.255
Er 0.273 0.727 0.500
Er 0.727 0.273 0.500

---

No. 2
! PrDy2Er7, relaxed, DFT PBE-GGA; values from VASP
! - Density: 8725 kg/m³
! - Formation energy: 0.2 eV/f.u.
! - Total magnetic moment: 0.00 Bohr magnetons per cell
! - DFT total energy: -45.7 eV for the cell shown
! - Crystal system: triclinic
! - SG: No. 2
&SYSTEM
  ibrav = 0, nat = 10, ntyp = 3
/
ATOMIC_SPECIES
Pr 140.91 Pr.upf
Dy 162.50 Dy.upf
Er 167.26 Er.upf
CELL_PARAMETERS angstrom
6.119 0.000 0.000
2.039 6.762 0.000
2.029 1.232 7.528
ATOMIC_POSITIONS crystal
Pr 0.000 0.000 0.000
Dy 0.200 0.301 0.599
Dy 0.800 0.699 0.401
Er 0.000 0.500 0.000
Er 0.201 0.799 0.599
Er 0.400 0.100 0.201
Er 0.401 0.598 0.201
Er 0.599 0.402 0.799
Er 0.600 0.900 0.799
Er 0.799 0.201 0.401

---

No. 3
! Pr3Dy2Er7, relaxed, DFT PBE-GGA; values from VASP
! - Density: 8167 kg/m³
! - Formation energy: 1.1 eV/f.u.
! - Total magnetic moment: 0.00 Bohr magnetons per cell
! - DFT total energy: -54.4 eV for the cell shown
! - Crystal system: monoclinic
! - SG: No. 10
&SYSTEM
  ibrav = 0, nat = 12, ntyp = 3
/
ATOMIC_SPECIES
Pr 140.91 Pr.upf
Dy 162.50 Dy.upf
Er 167.26 Er.upf
CELL_PARAMETERS angstrom
6.340 0.000 0.000
0.000 3.531 0.000
-1.918 0.000 17.426
ATOMIC_POSITIONS crystal
Pr 0.000 0.000 0.000
Pr 0.046 0.500 0.659
Pr 0.954 0.500 0.341
Dy 0.445 0.000 0.326
Dy 0.555 0.000 0.674
Er 0.231 0.500 0.165
Er 0.247 0.000 0.500
Er 0.277 0.000 0.835
Er 0.500 0.500 0.000
Er 0.723 0.000 0.165
Er 0.753 0.000 0.500
Er 0.769 0.500 0.835

---

No. 4
! Pr5Dy5Er, relaxed, DFT PBE-GGA; values from VASP
! - Density: 7404 kg/m³
! - Formation energy: 2.8 eV/f.u.
! - Total magnetic moment: 0.24 Bohr magnetons per cell
! - DFT total energy: -48.6 eV for the cell shown
! - Crystal system: monoclinic
! - SG: No. 12
&SYSTEM
  ibrav = 0, nat = 11, ntyp = 3
/
ATOMIC_SPECIES
Pr 140.91 Pr.upf
Dy 162.50 Dy.upf
Er 167.26 Er.upf
CELL_PARAMETERS angstrom
9.521 -3.019 0.000
9.521 3.019 0.000
-2.608 0.000 6.572
ATOMIC_POSITIONS crystal
Pr 0.000 0.000 0.000
Pr 0.325 0.325 0.069
Pr 0.325 0.325 0.580
Pr 0.675 0.675 0.420
Pr 0.675 0.675 0.931
Dy 0.122 0.122 0.623
Dy 0.169 0.169 0.170
Dy 0.500 0.500 0.500
Dy 0.831 0.831 0.830
Dy 0.878 0.878 0.377
Er 0.500 0.500 0.000

---

No. 5
! PrDy2Er6, relaxed, DFT PBE-GGA; values from VASP
! - Density: 8675 kg/m³
! - Formation energy: 0.7 eV/f.u.
! - Total magnetic moment: 0.00 Bohr magnetons per cell
! - DFT total energy: -40.7 eV for the cell shown
! - Crystal system: monoclinic
! - SG: No. 12
&SYSTEM
  ibrav = 0, nat = 9, ntyp = 3
/
ATOMIC_SPECIES
Pr 140.91 Pr.upf
Dy 162.50 Dy.upf
Er 167.26 Er.upf
CELL_PARAMETERS angstrom
14.521 -2.799 0.000
14.521 2.799 0.000
-0.002 0.000 3.460
ATOMIC_POSITIONS crystal
Pr 0.000 0.000 0.000
Dy 0.333 0.333 0.999
Dy 0.667 0.667 0.001
Er 0.113 0.113 0.502
Er 0.223 0.223 0.500
Er 0.443 0.443 0.499
Er 0.557 0.557 0.501
Er 0.777 0.777 0.500
Er 0.887 0.887 0.498

---

No. 6
! Pr5Dy4Er2, relaxed, DFT PBE-GGA; values from VASP
! - Density: 7278 kg/m³
! - Formation energy: 2.2 eV/f.u.
! - Total magnetic moment: 0.00 Bohr magnetons per cell
! - DFT total energy: -49.2 eV for the cell shown
! - Crystal system: orthorhombic
! - SG: No. 71
&SYSTEM
  ibrav = 0, nat = 11, ntyp = 3
/
ATOMIC_SPECIES
Pr 140.91 Pr.upf
Dy 162.50 Dy.upf
Er 167.26 Er.upf
CELL_PARAMETERS angstrom
-1.768 4.603 11.838
1.768 -4.603 11.838
1.768 4.603 -11.838
ATOMIC_POSITIONS crystal
Pr 0.000 0.000 0.000
Pr 0.054 0.352 0.702
Pr 0.349 0.648 0.702
Pr 0.651 0.352 0.298
Pr 0.946 0.648 0.298
Dy 0.313 0.500 0.813
Dy 0.403 0.903 0.500
Dy 0.597 0.097 0.500
Dy 0.687 0.500 0.187
Er 0.270 0.770 0.500
Er 0.730 0.230 0.500